(1)
Compound: FeTeCl
Source: Alexandria
Functional: PBE
Structure: relaxed

```
data_FeTeCl
_chemical_formula_sum 'Fe1 Te1 Cl1'
_cell_length_a 7.061
_cell_length_b 7.916
_cell_length_c 7.916
_cell_angle_alpha 156.33
_cell_angle_beta 154.61
_cell_angle_gamma 36.00
_space_group_name_H-M_alt 'P 1'
_space_group_IT_number 1
loop_
_space_group_symop_operation_xyz
'x,y,z'
loop_
_atom_site_label
_atom_site_fract_x
_atom_site_fract_y
_atom_site_fract_z
_atom_site_occupancy
Cl1 0.751 0.952 0.799 1
Fe1 0.493 0.330 0.163 1
Te1 0.756 0.717 0.038 1
```

Results
VASP energy in eV/atom: -4.676
M_tot in μB per formula unit: 3.3
Energy relative to the elements, uncorrected in kJ/mol of atoms: -18.5

***

(2)
Compound: FeTe2Cl
Source: Alexandria
Functional: PBE
Structure: relaxed

```
data_FeTe2Cl
_chemical_formula_sum 'Fe1 Te2 Cl1'
_cell_length_a 5.055
_cell_length_b 5.056
_cell_length_c 5.058
_cell_angle_alpha 119.96
_cell_angle_beta 119.96
_cell_angle_gamma 90.03
_space_group_name_H-M_alt 'P 1'
_space_group_IT_number 1
loop_
_space_group_symop_operation_xyz
'x,y,z'
loop_
_atom_site_label
_atom_site_fract_x
_atom_site_fract_y
_atom_site_fract_z
_atom_site_occupancy
Te1 0.000 0.000 0.000 1
Cl1 0.500 0.500 0.000 1
Te2 0.250 0.750 0.500 1
Fe1 0.750 0.250 0.500 1
```

Results
VASP energy in eV/atom: -3.645
E above lowest polymorph in meV per atom: 651.6
M_tot in μB per formula unit: 3.1
Energy relative to the elements, uncorrected in kJ/mol of atoms: 48.5

***

(3)
Compound: FeTe2Cl2
Source: Alexandria
Functional: PBE
Structure: relaxed

```
data_FeTe2Cl2
_chemical_formula_sum 'Fe1 Te2 Cl2'
_cell_length_a 3.969
_cell_length_b 3.969
_cell_length_c 10.773
_cell_angle_alpha 79.39
_cell_angle_beta 79.39
_cell_angle_gamma 90.00
_space_group_name_H-M_alt 'P 1'
_space_group_IT_number 1
loop_
_space_group_symop_operation_xyz
'x,y,z'
loop_
_atom_site_label
_atom_site_fract_x
_atom_site_fract_y
_atom_site_fract_z
_atom_site_occupancy
Te1 0.250 0.750 0.500 1
Te2 0.750 0.250 0.500 1
Cl1 0.427 0.427 0.146 1
Fe1 0.000 0.000 0.000 1
Cl2 0.573 0.573 0.854 1
```

Results
VASP energy in eV/atom: -3.328
E above lowest polymorph in meV per atom: 377.9
M_tot in μB per formula unit: 3.7
Energy relative to the elements, uncorrected in kJ/mol of atoms: 34.7

***

(4)
Compound: FeTeCl2
Source: Alexandria
Functional: PBE
Structure: relaxed

```
data_FeTeCl2
_chemical_formula_sum 'Fe2 Te2 Cl4'
_cell_length_a 6.637
_cell_length_b 6.637
_cell_length_c 6.643
_cell_angle_alpha 60.03
_cell_angle_beta 60.03
_cell_angle_gamma 90.00
_space_group_name_H-M_alt 'P 1'
_space_group_IT_number 1
loop_
_space_group_symop_operation_xyz
'x,y,z'
loop_
_atom_site_label
_atom_site_fract_x
_atom_site_fract_y
_atom_site_fract_z
_atom_site_occupancy
Te1 0.750 0.250 0.500 1
Te2 0.000 0.000 0.000 1
Cl1 0.471 0.125 0.250 1
Cl2 0.375 0.529 0.750 1
Cl3 0.875 0.721 0.750 1
Cl4 0.279 0.625 0.250 1
Fe1 0.500 0.500 0.000 1
Fe2 0.250 0.750 0.500 1
```

Results
VASP energy in eV/atom: -3.525
E above lowest polymorph in meV per atom: 663.1
M_tot in μB per formula unit: 0.0
Energy relative to the elements, uncorrected in kJ/mol of atoms: 28.9

***

(5)
Compound: FeTe2Cl2
Source: Alexandria
Functional: PBE
Structure: relaxed

```
data_FeTe2Cl2
_chemical_formula_sum 'Fe2 Te4 Cl4'
_cell_length_a 8.883
_cell_length_b 8.883
_cell_length_c 3.115
_cell_angle_alpha 90.00
_cell_angle_beta 90.00
_cell_angle_gamma 90.00
_space_group_name_H-M_alt 'P 1'
_space_group_IT_number 1
loop_
_space_group_symop_operation_xyz
'x,y,z'
loop_
_atom_site_label
_atom_site_fract_x
_atom_site_fract_y
_atom_site_fract_z
_atom_site_occupancy
Fe1 0.000 0.000 0.000 1
Cl1 0.881 0.619 0.000 1
Fe2 0.500 0.500 0.000 1
Te1 0.302 0.198 0.500 1
Te2 0.802 0.302 0.500 1
Cl2 0.619 0.119 0.000 1
Te3 0.198 0.698 0.500 1
Cl3 0.119 0.381 0.000 1
Cl4 0.381 0.881 0.000 1
Te4 0.698 0.802 0.500 1
```

Results
VASP energy in eV/atom: -3.061
E above lowest polymorph in meV per atom: 644.2
M_tot in μB per formula unit: 3.7
Energy relative to the elements, uncorrected in kJ/mol of atoms: 60.4

***

(6)
Compound: FeTeCl2
Source: Alexandria
Functional: PBE
Structure: relaxed

```
data_FeTeCl2
_chemical_formula_sum 'Fe1 Te1 Cl2'
_cell_length_a 3.272
_cell_length_b 6.583
_cell_length_c 6.366
_cell_angle_alpha 67.07
_cell_angle_beta 90.00
_cell_angle_gamma 90.00
_space_group_name_H-M_alt 'P 1'
_space_group_IT_number 1
loop_
_space_group_symop_operation_xyz
'x,y,z'
loop_
_atom_site_label
_atom_site_fract_x
_atom_site_fract_y
_atom_site_fract_z
_atom_site_occupancy
Cl1 0.000 0.870 0.070 1
Cl2 0.500 0.348 0.367 1
Te1 0.500 0.693 0.663 1
Fe1 0.000 0.589 0.399 1
```

Results
VASP energy in eV/atom: -4.188
E above lowest polymorph in meV per atom: 0.0
M_tot in μB per formula unit: 3.5
Energy relative to the elements, uncorrected in kJ/mol of atoms: -35.1

***

(7)
Compound: FeTe2Cl
Source: Alexandria
Functional: PBE
Structure: relaxed

```
data_FeTe2Cl
_chemical_formula_sum 'Fe1 Te2 Cl1'
_cell_length_a 7.310
_cell_length_b 7.310
_cell_length_c 7.310
_cell_angle_alpha 153.36
_cell_angle_beta 135.44
_cell_angle_gamma 52.68
_space_group_name_H-M_alt 'P 1'
_space_group_IT_number 1
loop_
_space_group_symop_operation_xyz
'x,y,z'
loop_
_atom_site_label
_atom_site_fract_x
_atom_site_fract_y
_atom_site_fract_z
_atom_site_occupancy
Cl1 0.601 0.601 0.000 1
Te1 0.291 0.791 0.500 1
Fe1 0.727 0.227 0.500 1
Te2 0.880 0.880 0.000 1
```

Results
VASP energy in eV/atom: -4.208
E above lowest polymorph in meV per atom: 89.0
M_tot in μB per formula unit: 3.0
Energy relative to the elements, uncorrected in kJ/mol of atoms: -5.8

***

(8)
Compound: FeTeCl2
Source: Alexandria
Functional: PBE
Structure: relaxed

```
data_FeTeCl2
_chemical_formula_sum 'Fe1 Te1 Cl2'
_cell_length_a 5.440
_cell_length_b 5.440
_cell_length_c 5.440
_cell_angle_alpha 132.51
_cell_angle_beta 132.51
_cell_angle_gamma 69.43
_space_group_name_H-M_alt 'P 1'
_space_group_IT_number 1
loop_
_space_group_symop_operation_xyz
'x,y,z'
loop_
_atom_site_label
_atom_site_fract_x
_atom_site_fract_y
_atom_site_fract_z
_atom_site_occupancy
Te1 0.750 0.250 0.500 1
Cl1 0.000 0.000 0.000 1
Fe1 0.250 0.750 0.500 1
Cl2 0.500 0.500 0.000 1
```

Results
VASP energy in eV/atom: -3.319
E above lowest polymorph in meV per atom: 868.6
M_tot in μB per formula unit: 3.5
Energy relative to the elements, uncorrected in kJ/mol of atoms: 48.8

***

(9)
Compound: FeTe2Cl
Source: Alexandria
Functional: PBE
Structure: relaxed

```
data_FeTe2Cl
_chemical_formula_sum 'Fe1 Te2 Cl1'
_cell_length_a 5.028
_cell_length_b 5.081
_cell_length_c 5.089
_cell_angle_alpha 67.92
_cell_angle_beta 75.39
_cell_angle_gamma 111.62
_space_group_name_H-M_alt 'P 1'
_space_group_IT_number 1
loop_
_space_group_symop_operation_xyz
'x,y,z'
loop_
_atom_site_label
_atom_site_fract_x
_atom_site_fract_y
_atom_site_fract_z
_atom_site_occupancy
Te1 0.500 0.000 0.500 1
Fe1 0.500 0.500 0.000 1
Te2 0.000 0.000 0.000 1
Cl1 0.000 0.500 0.500 1
```

Results
VASP energy in eV/atom: -3.825
E above lowest polymorph in meV per atom: 472.2
M_tot in μB per formula unit: 3.0
Energy relative to the elements, uncorrected in kJ/mol of atoms: 31.2

***

(10)
Compound: FeTeCl2
Source: Alexandria
Functional: PBE
Structure: relaxed

```
data_FeTeCl2
_chemical_formula_sum 'Fe1 Te1 Cl2'
_cell_length_a 3.893
_cell_length_b 3.893
_cell_length_c 8.980
_cell_angle_alpha 90.00
_cell_angle_beta 90.00
_cell_angle_gamma 127.63
_space_group_name_H-M_alt 'P 1'
_space_group_IT_number 1
loop_
_space_group_symop_operation_xyz
'x,y,z'
loop_
_atom_site_label
_atom_site_fract_x
_atom_site_fract_y
_atom_site_fract_z
_atom_site_occupancy
Cl1 0.500 0.500 0.327 1
Fe1 0.000 0.000 0.498 1
Cl2 0.000 0.000 0.960 1
Te1 0.500 0.500 0.715 1
```

Results
VASP energy in eV/atom: -3.890
E above lowest polymorph in meV per atom: 297.8
M_tot in μB per formula unit: 3.1
Energy relative to the elements, uncorrected in kJ/mol of atoms: -6.3

***

(11)
Compound: FeTeCl3
Source: Alexandria
Functional: PBE
Structure: relaxed

```
data_FeTeCl3
_chemical_formula_sum 'Fe1 Te1 Cl3'
_cell_length_a 4.652
_cell_length_b 4.652
_cell_length_c 4.652
_cell_angle_alpha 90.00
_cell_angle_beta 90.00
_cell_angle_gamma 90.00
_space_group_name_H-M_alt 'P 1'
_space_group_IT_number 1
loop_
_space_group_symop_operation_xyz
'x,y,z'
loop_
_atom_site_label
_atom_site_fract_x
_atom_site_fract_y
_atom_site_fract_z
_atom_site_occupancy
Cl1 0.000 0.500 0.000 1
Te1 0.500 0.500 0.500 1
Cl2 0.000 0.000 0.500 1
Cl3 0.500 0.000 0.000 1
Fe1 0.000 0.000 0.000 1
```

Results
VASP energy in eV/atom: -3.302
E above lowest polymorph in meV per atom: 0.0
M_tot in μB per formula unit: 0.0
Energy relative to the elements, uncorrected in kJ/mol of atoms: 12.2

***

(12)
Compound: FeTe2Cl2
Source: Alexandria
Functional: PBE
Structure: relaxed

```
data_FeTe2Cl2
_chemical_formula_sum 'Fe2 Te4 Cl4'
_cell_length_a 6.876
_cell_length_b 6.876
_cell_length_c 5.463
_cell_angle_alpha 90.00
_cell_angle_beta 90.00
_cell_angle_gamma 90.00
_space_group_name_H-M_alt 'P 1'
_space_group_IT_number 1
loop_
_space_group_symop_operation_xyz
'x,y,z'
loop_
_atom_site_label
_atom_site_fract_x
_atom_site_fract_y
_atom_site_fract_z
_atom_site_occupancy
Te1 0.161 0.339 0.000 1
Cl1 0.324 0.824 0.500 1
Fe1 0.500 0.500 0.000 1
Te2 0.839 0.661 0.000 1
Te3 0.339 0.839 0.000 1
Te4 0.661 0.161 0.000 1
Fe2 0.000 0.000 0.000 1
Cl2 0.676 0.176 0.500 1
Cl3 0.824 0.676 0.500 1
Cl4 0.176 0.324 0.500 1
```

Results
VASP energy in eV/atom: -3.706
E above lowest polymorph in meV per atom: 0.0
M_tot in μB per formula unit: 2.0
Energy relative to the elements, uncorrected in kJ/mol of atoms: -1.7

***

Which formula does entry 11 have?
FeTeCl3

***

The lowest VASP energy belongs to which entry?
FeTeCl

***

M_tot of number 5 (FeTe2Cl2)?
3.7 μB per formula unit